1.
# YTa2ICl

An optimized crystal structure of YTa2ICl (PBE, the Alexandria database).

The space group is P4/mmm (No. 123) and the conventional cell measures 5.011, 5.011 and 5.947 Å, with angles of 90.00, 90.00 and 90.00 degrees. The inequivalent atoms are Y at (0.000, 0.000, 0.000), Ta at (0.000, 0.500, 0.500), I at (0.500, 0.500, 0.500) and Cl at (0.500, 0.500, 0.000).

Its formation energy from raw total energies is 1381 meV per atom.

2.
# TbSm8Sc2

An optimized crystal structure of TbSm8Sc2 (PBE, the Alexandria database).

The space group is C2/m (No. 12) and the conventional cell measures 8.967, 16.052 and 5.853 Å, with angles of 90.00, 122.44 and 90.00 degrees. The inequivalent atoms are Tb at (0.000, 0.000, 0.000), Sm at (0.000, 0.208, 0.000), Sm at (0.078, 0.500, 0.794), Sm at (0.217, 0.120, 0.673) and Sc at (0.000, 0.310, 0.500).

The value obtained for the excess energy over the best structure of this formula in the dataset is 0.0364 eV/atom. The formation energy comes out at 0.16 eV per atom.

3.
# BaLi2Mo

An optimized crystal structure of BaLi2Mo (PBE, the Alexandria database).

The space group is R-3m (No. 166, hexagonal axes) and the conventional cell measures 3.0719, 3.0719 and 33.0677 Å, with angles of 90.00, 90.00 and 120.00 degrees. The inequivalent atoms are Ba at (0.0000, 0.0000, 0.0000), Li at (0.0000, 0.0000, 0.2356) and Mo at (0.0000, 0.0000, 0.5000).

The value obtained for the excess energy over the best structure of this formula in the dataset is 0.1615 eV/atom. The formation energy comes out at 0.89 eV per atom.

4.
# BeIr2Ru

An optimized crystal structure of BeIr2Ru (PBE, the Alexandria database).

The space group is Pm (No. 6) and the conventional cell measures 2.729, 3.903 and 5.116 Å, with angles of 90.00, 105.37 and 90.00 degrees. The inequivalent atoms are Be at (0.000, 0.000, 0.000), Ir at (0.133, 0.500, 0.260), Ir at (0.768, 0.000, 0.530) and Ru at (0.402, 0.500, 0.798).

The formation energy comes out at -0.10 eV per atom.

5.
# Pm2Mg2Sb2N

An optimized crystal structure of Pm2Mg2Sb2N (PBE, the Alexandria database).

The space group is I4/mmm (No. 139) and the conventional cell measures 4.493, 4.493 and 15.881 Å, with angles of 90.00, 90.00 and 90.00 degrees. The inequivalent atoms are Pm at (0.000, 0.000, 0.153), Mg at (0.000, 0.500, 0.000), Sb at (0.000, 0.000, 0.363) and N at (0.000, 0.000, 0.000).

Its formation energy from raw total energies is -963 meV per atom.

6.
# ThReSi2Ru

An optimized crystal structure of ThReSi2Ru (PBE, the Alexandria database).

The space group is I-4m2 (No. 119) and the conventional cell measures 4.263, 4.263 and 9.759 Å, with angles of 90.00, 90.00 and 90.00 degrees. The inequivalent atoms are Th at (0.000, 0.000, 0.000), Re at (0.000, 0.500, 0.250), Si at (0.000, 0.000, 0.369) and Ru at (0.000, 0.500, 0.750).

Its formation energy from raw total energies is -708 meV per atom.

7.
# SmYPtRh

An optimized crystal structure of SmYPtRh (PBE, the Alexandria database).

The space group is Amm2 (No. 38) and the conventional cell measures 4.360, 3.858 and 10.704 Å, with angles of 90.00, 90.00 and 90.00 degrees. The inequivalent atoms are Sm at (0.000, 0.000, 0.000), Y at (0.500, 0.000, 0.718), Pt at (0.500, 0.000, 0.440) and Rh at (0.000, 0.000, 0.267).

The value obtained for the excess energy over the best structure of this formula in the dataset is 0.0000 eV/atom. The formation energy comes out at -1.00 eV per atom.

8.
# Li12Ga6Ir

An optimized crystal structure of Li12Ga6Ir (PBE, the Alexandria database).

The space group is R-3 (No. 148, hexagonal axes) and the conventional cell measures 9.4644, 9.4644 and 12.0416 Å, with angles of 90.00, 90.00 and 120.00 degrees. The inequivalent atoms are Li at (0.0374, 0.8511, 0.3158), Li at (0.0680, 0.2207, 0.9135), Ga at (0.0328, 0.5908, 0.2048) and Ir at (0.0000, 0.0000, 0.5000).

The formation energy comes out at -0.29 eV per atom.

9.
# CsHgB2Ir

An optimized crystal structure of CsHgB2Ir (PBE, the Alexandria database).

The space group is P4/mmm (No. 123) and the conventional cell measures 4.211, 4.211 and 6.792 Å, with angles of 90.00, 90.00 and 90.00 degrees. The inequivalent atoms are Cs at (0.000, 0.000, 0.000), Hg at (0.000, 0.000, 0.500), B at (0.000, 0.500, 0.500) and Ir at (0.500, 0.500, 0.000).

The formation energy comes out at 2.29 eV per atom.

10.
# CaBiBAs2

An optimized crystal structure of CaBiBAs2 (PBE, the Alexandria database).

The space group is P4/mmm (No. 123) and the conventional cell measures 5.372, 5.372 and 4.746 Å, with angles of 90.00, 90.00 and 90.00 degrees. The inequivalent atoms are Ca at (0.000, 0.000, 0.000), Bi at (0.500, 0.500, 0.500), B at (0.000, 0.000, 0.500) and As at (0.000, 0.500, 0.000).

The formation energy comes out at 1.18 eV per atom.

11.
# As2OsBrO

An optimized crystal structure of As2OsBrO (PBE, the Alexandria database).

The space group is P4/mmm (No. 123) and the conventional cell measures 4.125, 4.125 and 4.923 Å, with angles of 90.00, 90.00 and 90.00 degrees. The inequivalent atoms are As at (0.000, 0.500, 0.000), Os at (0.000, 0.000, 0.500), Br at (0.500, 0.500, 0.500) and O at (0.500, 0.500, 0.000).

Its formation energy from raw total energies is 988 meV per atom. The value obtained for the excess energy over the best structure of this formula in the dataset is 0.0769 eV/atom.

12.
# HoZrPa2N4

An optimized crystal structure of HoZrPa2N4 (PBE, the Alexandria database).

The space group is P2/m (No. 10) and the conventional cell measures 5.918, 3.426 and 5.955 Å, with angles of 90.00, 109.38 and 90.00 degrees. The inequivalent atoms are Ho at (0.000, 0.000, 0.000), Zr at (0.500, 0.500, 0.000), Pa at (0.000, 0.500, 0.500), Pa at (0.500, 0.000, 0.500), N at (0.256, 0.500, 0.247) and N at (0.258, 0.000, 0.758).

Its formation energy from raw total energies is -1662 meV per atom.

13.
# RbTc2S3

An optimized crystal structure of RbTc2S3 (PBE, the Alexandria database).

The space group is C2/m (No. 12) and the conventional cell measures 23.520, 3.600 and 7.143 Å, with angles of 90.00, 101.04 and 90.00 degrees. The inequivalent atoms are Rb at (0.099, 0.000, 0.064), Tc at (0.060, 0.500, 0.543), Tc at (0.215, 0.000, 0.559), S at (0.002, 0.500, 0.249), S at (0.120, 0.000, 0.589) and S at (0.241, 0.000, 0.263).

Its formation energy from raw total energies is -518 meV per atom.

14.
# Be2TcP

An optimized crystal structure of Be2TcP (PBE, the Alexandria database).

The space group is Immm (No. 71) and the conventional cell measures 3.153, 3.641 and 7.563 Å, with angles of 90.00, 90.00 and 90.00 degrees. The inequivalent atoms are Be at (0.000, 0.000, 0.244), Tc at (0.000, 0.500, 0.000) and P at (0.000, 0.500, 0.500).

The formation energy comes out at -0.14 eV per atom.

15.
# Si2AsPO

An optimized crystal structure of Si2AsPO (PBE, the Alexandria database).

The space group is P4/mmm (No. 123) and the conventional cell measures 4.916, 4.916 and 4.530 Å, with angles of 90.00, 90.00 and 90.00 degrees. The inequivalent atoms are Si at (0.000, 0.500, 0.000), As at (0.000, 0.000, 0.000), P at (0.000, 0.000, 0.500) and O at (0.500, 0.500, 0.500).

Its formation energy from raw total energies is 1447 meV per atom.

16.
# TmGa5Ni3

An optimized crystal structure of TmGa5Ni3 (PBE, the Alexandria database).

The space group is Cmcm (No. 63) and the conventional cell measures 3.815, 12.357 and 12.336 Å, with angles of 90.00, 90.00 and 90.00 degrees. The inequivalent atoms are Tm at (0.000, 0.154, 0.250), Ga at (0.000, 0.000, 0.000), Ga at (0.000, 0.207, 0.565), Ga at (0.000, 0.436, 0.151), Ni at (0.000, 0.150, 0.750) and Ni at (0.000, 0.396, 0.550).

The formation energy comes out at -0.36 eV per atom.

17.
# CaRe

An optimized crystal structure of CaRe (PBE, the Alexandria database).

The space group is Cm (No. 8) and the conventional cell measures 12.129, 3.392 and 7.154 Å, with angles of 90.00, 107.43 and 90.00 degrees. The inequivalent atoms are Ca at (0.000, 0.000, 0.000), Ca at (0.017, 0.000, 0.463), Ca at (0.305, 0.000, 0.629), Re at (0.179, 0.500, 0.857), Re at (0.193, 0.500, 0.274) and Re at (0.279, 0.000, 0.105).

The value obtained for the excess energy over the best structure of this formula in the dataset is 0.2523 eV/atom. The formation energy comes out at 0.55 eV per atom.

18.
# Sr2TlPt4Pb3

An optimized crystal structure of Sr2TlPt4Pb3 (PBE, the Alexandria database).

The space group is P-4m2 (No. 115) and the conventional cell measures 4.891, 4.891 and 10.796 Å, with angles of 90.00, 90.00 and 90.00 degrees. The inequivalent atoms are Sr at (0.000, 0.500, 0.235), Tl at (0.000, 0.000, 0.500), Pt at (0.000, 0.000, 0.000), Pt at (0.000, 0.500, 0.629), Pt at (0.500, 0.500, 0.000), Pb at (0.000, 0.500, 0.880) and Pb at (0.500, 0.500, 0.500).

The formation energy comes out at -0.46 eV per atom.

19.
# Re4MoOs

An optimized crystal structure of Re4MoOs (PBE, the Alexandria database).

The space group is F-43m (No. 216) and the conventional cell measures 7.225, 7.225 and 7.225 Å, with angles of 90.00, 90.00 and 90.00 degrees. The inequivalent atoms are Re at (0.124, 0.124, 0.376), Mo at (0.000, 0.000, 0.000) and Os at (0.250, 0.250, 0.750).

The value obtained for the excess energy over the best structure of this formula in the dataset is 0.2029 eV/atom. The formation energy comes out at 0.31 eV per atom.

20.
# Hf4HgPb

An optimized crystal structure of Hf4HgPb (PBE, the Alexandria database).

The space group is C2/m (No. 12) and the conventional cell measures 5.085, 10.429 and 5.077 Å, with angles of 90.00, 97.04 and 90.00 degrees. The inequivalent atoms are Hf at (0.000, 0.166, 0.000), Hf at (0.000, 0.333, 0.500), Hg at (0.000, 0.000, 0.500) and Pb at (0.000, 0.500, 0.000).

The formation energy comes out at -0.06 eV per atom.

21.
# FeGe2As

An optimized crystal structure of FeGe2As (PBE, the Alexandria database).

The space group is I-42d (No. 122) and the conventional cell measures 5.679, 5.679 and 11.148 Å, with angles of 90.00, 90.00 and 90.00 degrees. The inequivalent atoms are Fe at (0.000, 0.000, 0.000), Ge at (0.223, 0.250, 0.125) and As at (0.000, 0.000, 0.500).

The formation energy comes out at 0.37 eV per atom.

22.
# Tb2Dy8Th3

An optimized crystal structure of Tb2Dy8Th3 (PBE, the Alexandria database).

The space group is C2/m (No. 12) and the conventional cell measures 14.835, 9.246 and 6.606 Å, with angles of 90.00, 99.51 and 90.00 degrees. The inequivalent atoms are Tb at (0.212, 0.000, 0.295), Dy at (0.082, 0.500, 0.373), Dy at (0.113, 0.321, 0.935), Dy at (0.196, 0.000, 0.787), Th at (0.000, 0.000, 0.000) and Th at (0.000, 0.169, 0.500).

The value obtained for the excess energy over the best structure of this formula in the dataset is 0.0101 eV/atom. The formation energy comes out at 0.28 eV per atom.

23.
# GdZrCd2

An optimized crystal structure of GdZrCd2 (PBE, the Alexandria database).

The space group is Fm-3m (No. 225) and the conventional cell measures 7.307, 7.307 and 7.307 Å, with angles of 90.00, 90.00 and 90.00 degrees. The inequivalent atoms are Gd at (0.000, 0.000, 0.000), Zr at (0.000, 0.000, 0.500) and Cd at (0.250, 0.250, 0.250).

The value obtained for the excess energy over the best structure of this formula in the dataset is 0.0383 eV/atom. The formation energy comes out at -0.13 eV per atom.

24.
# LiZr2Sc

An optimized crystal structure of LiZr2Sc (PBE, the Alexandria database).

The space group is Cmmm (No. 65) and the conventional cell measures 6.167, 9.078 and 3.116 Å, with angles of 90.00, 90.00 and 90.00 degrees. The inequivalent atoms are Li at (0.000, 0.000, 0.000), Zr at (0.250, 0.250, 0.500) and Sc at (0.000, 0.500, 0.000).

The formation energy comes out at 0.21 eV per atom.

25.
# Y2HoCo2

An optimized crystal structure of Y2HoCo2 (PBE, the Alexandria database).

The space group is C2/m (No. 12) and the conventional cell measures 11.274, 3.718 and 5.508 Å, with angles of 90.00, 103.13 and 90.00 degrees. The inequivalent atoms are Y at (0.147, 0.000, 0.079), Ho at (0.000, 0.500, 0.500) and Co at (0.218, 0.000, 0.600).

The value obtained for the excess energy over the best structure of this formula in the dataset is 0.1047 eV/atom. The formation energy comes out at -0.05 eV per atom.

26.
# SnAs2Se2

An optimized crystal structure of SnAs2Se2 (PBE, the Alexandria database).

The space group is I4/mmm (No. 139) and the conventional cell measures 5.330, 5.330 and 8.612 Å, with angles of 90.00, 90.00 and 90.00 degrees. The inequivalent atoms are Sn at (0.000, 0.000, 0.000), As at (0.000, 0.000, 0.336) and Se at (0.000, 0.500, 0.250).

Its formation energy from raw total energies is 170 meV per atom. The value obtained for the excess energy over the best structure of this formula in the dataset is 0.1415 eV/atom.

no.,total magnetic moment (μB per cell)
1,1.07
2,0.00
3,1.93
4,0.00
5,0.00
6,0.00
7,0.00
8,0.00
9,0.01
10,0.51
11,0.00
12,0.00
13,0.00
14,0.00
15,0.00
16,0.00
17,0.00
18,0.00
19,0.00
20,0.00
21,8.78
22,0.00
23,32.25
24,0.00
25,0.00
26,0.00